Entry 1:
Below is a PBEsol-optimized structure of Sr2ZnHF, with properties calculated at the meta-GGA SCAN level.

Summary:
volume = 30.42 A^3/atom
crystal system = tetragonal
energy = -13.3096 eV/atom
mass density = 2.8 g cm⁻³

abc: 5.916 5.916 4.345
angles: 90.00 90.00 90.00
Space group P4/mmm (No. 123)
One atom of each set of equivalent atoms:
1 Sr 0.000 0.500 0.000
2 Zn 0.000 0.000 0.000
3 H 0.500 0.500 0.500
4 F 0.000 0.000 0.500

=====

Entry 2:
Below is a PBEsol-optimized structure of TaH3F, with properties calculated at the meta-GGA SCAN level.

Summary:
volume = 9.02 A^3/atom
crystal system = cubic
energy = -16.0860 eV/atom
mass density = 7.5 g cm⁻³

abc: 3.559 3.559 3.559
angles: 90.00 90.00 90.00
Space group Pm-3m (No. 221)
One atom of each set of equivalent atoms:
1 Ta 0.000 0.000 0.000
2 H 0.000 0.000 0.500
3 F 0.500 0.500 0.500

=====

Entry 3:
Below is a PBEsol-optimized structure of Tc2HF, with properties calculated at the meta-GGA SCAN level.

Summary:
volume = 10.10 A^3/atom
crystal system = cubic
energy = -18.4443 eV/atom
mass density = 8.9 g cm⁻³

abc: 5.446 5.446 5.446
angles: 90.00 90.00 90.00
Space group Fm-3m (No. 225)
One atom of each set of equivalent atoms:
1 Tc 0.250 0.250 0.250
2 H 0.000 0.000 0.000
3 F 0.000 0.000 0.500